The following is a PBE-GGA calculation of a geometry-optimized Cs2SbPt structure, from Alexandria via LeMat-Bulk.

Cell and atoms, written as extended XYZ:
```
8
Lattice="-6.7089 6.7089 2.5103 6.7089 -6.7089 2.5103 6.7089 6.7089 -2.5103" Properties=species:S:1:pos:R:3 pbc="T T T"
Cs 0.9516 3.3545 0.6276
Cs -3.3545 5.7573 1.8827
Cs -0.9516 10.0634 0.6276
Cs 3.3545 7.6606 1.8827
Sb 6.7089 0.0000 1.2552
Sb 0.0000 0.0000 2.5103
Pt 0.0000 0.0000 0.0000
Pt 0.0000 6.7089 1.2552
```

The symmetry is I-42d. The energy relative to the elements, uncorrected is -316 meV per atom. Its total magnetic moment is 0.00 Bohr magnetons per cell.

=====

The following is a PBE-GGA calculation of a geometry-optimized Al2SbOs structure, from Alexandria via LeMat-Bulk.

Cell and atoms, written as extended XYZ:
```
4
Lattice="1.5247 -2.5492 0.0000 1.5247 2.5492 0.0000 0.0000 0.0000 9.5741" Properties=species:S:1:pos:R:3 pbc="T T T"
Al 0.0000 0.0000 0.0000
Al 1.5247 0.0000 2.3366
Sb 0.0000 0.0000 5.2801
Os 1.5247 0.0000 7.5984
```

The symmetry is Cmm2. The energy relative to the elements, uncorrected is 358 meV per atom. Its total magnetic moment is 0.00 Bohr magnetons per cell.

=====

The following is a PBE-GGA calculation of a geometry-optimized BaBi3Pb3 structure, from Alexandria via LeMat-Bulk.

Cell and atoms, written as extended XYZ:
```
14
Lattice="4.7885 2.7647 7.3505 -4.7885 2.7647 7.3505 0.0000 -5.5293 7.3505" Properties=species:S:1:pos:R:3 pbc="T T T"
Ba 0.0000 0.0000 3.6719
Ba 0.0000 0.0000 18.3796
Bi -1.6027 -2.7606 9.2745
Bi -3.1922 0.0077 12.7770
Bi -1.5894 2.7683 9.2745
Bi 1.5894 -2.7683 12.7770
Bi 3.1922 -0.0077 9.2745
Bi 1.6027 2.7606 12.7770
Pb -3.1466 0.0177 8.5881
Pb -1.5886 -2.7162 13.4635
Pb 1.5580 -2.7339 8.5881
Pb -1.5580 2.7339 13.4635
Pb 1.5886 2.7162 8.5881
Pb 3.1466 -0.0177 13.4635
```

The symmetry is R-3. As for the energy relative to the elements: -0.19 eV per atom. Its total magnetic moment is 0.00 Bohr magnetons per cell.

=====

The following is a PBE-GGA calculation of a geometry-optimized In2Sn structure, from Alexandria via LeMat-Bulk.

Cell and atoms, written as extended XYZ:
```
3
Lattice="2.8062 -2.8262 0.0000 2.8062 2.8262 0.0000 -2.5799 0.0000 5.1630" Properties=species:S:1:pos:R:3 pbc="T T T"
In 0.0729 0.0000 1.7182
In 2.9596 0.0000 3.4448
Sn 2.8062 0.0000 0.0000
```

The symmetry is C2/m. As for the energy relative to the elements: 0.04 eV per atom. Its total magnetic moment is 0.00 Bohr magnetons per cell.

=====

The following is a PBE-GGA calculation of a geometry-optimized Mg3HgSb structure, from Alexandria via LeMat-Bulk.

Cell and atoms, written as extended XYZ:
```
20
Lattice="7.2298 -7.6834 0.0000 7.2298 7.6834 0.0000 -1.5669 0.0000 4.5249" Properties=species:S:1:pos:R:3 pbc="T T T"
Mg 1.0513 1.2293 1.6518
Mg 5.2812 3.7673 0.5946
Mg 0.2679 -1.2293 3.9143
Mg 4.3667 1.4533 2.8022
Mg 8.3950 3.7673 1.6679
Mg 5.1502 -1.4533 0.5397
Mg 7.7426 1.4533 3.9851
Mg 4.4978 -3.7673 2.8570
Mg 8.5260 -1.4533 1.7227
Mg 12.6249 1.2293 0.6106
Mg 7.6116 -3.7673 3.9303
Mg 11.8415 -1.2293 2.8731
Hg 6.0547 3.9159 3.3937
Hg 6.8381 1.1175 1.1312
Hg 6.0547 -1.1175 3.3937
Hg 6.8381 -3.9159 1.1312
Sb 1.8774 1.5262 4.4752
Sb 2.6608 -1.5262 2.2128
Sb 10.2320 1.5262 2.3121
Sb 11.0154 -1.5262 0.0497
```

The symmetry is C2/c. The energy relative to the elements, uncorrected is -171 meV per atom. Its total magnetic moment is 0.00 Bohr magnetons per cell.

=====

The following is a PBE-GGA calculation of a geometry-optimized Er2HgGe structure, from Alexandria via LeMat-Bulk.

Cell and atoms, written as extended XYZ:
```
4
Lattice="3.6661 0.0000 0.0000 0.0000 3.6661 0.0000 0.0000 0.0000 7.0473" Properties=species:S:1:pos:R:3 pbc="T T T"
Er 0.0000 0.0000 1.6775
Er 0.0000 0.0000 5.3698
Hg 1.8330 1.8330 3.5236
Ge 1.8330 1.8330 0.0000
```

The symmetry is P4/mmm. As for the energy relative to the elements: -0.56 eV per atom. Its total magnetic moment is 0.00 Bohr magnetons per cell.